Material: LaSc3Se6
Method: DFT, PBE
State: relaxed

Values from the calculation:
The crystal system is monoclinic. The energy above the most stable polymorph in this dataset comes out at 0.0 kJ per mole of atoms. The uncorrected formation energy comes out at -1.771 eV per atom.

Cell and atoms, written as extended XYZ:
```
20
Lattice="-4.004 0.022 0.075 0.098 -8.279 7.639 0.155 10.165 5.348" Properties=species:S:1:pos:R:3 pbc="T T T"
Sc -0.922 -2.918 5.106
Sc -0.777 2.293 11.314
La -2.889 6.700 4.209
Sc -2.859 -0.534 7.902
Se -2.956 -2.642 3.323
Se -0.851 8.608 5.541
Sc -2.973 -0.385 1.747
Se -2.891 -3.257 7.013
Se -2.809 1.068 10.147
Se -2.861 2.292 6.993
Se -2.918 3.701 3.520
Se -0.890 -0.384 6.069
Se -0.833 -1.794 9.541
Sc -2.829 4.826 7.955
La -0.862 -4.792 8.852
Se -0.942 0.840 2.914
Sc -0.892 2.442 5.160
Se -0.795 4.550 9.738
Se -2.900 -6.700 7.520
Se -0.860 5.165 6.049
```